Entry 1:
The following is a GGA-PBE calculation of an optimized crystal structure of Pa2GaNiN5, from Alexandria.

Summary:
* formation energy from raw total energies: -0.820 eV per atom

Cell and atoms, written as CIF:
```
data_Pa2GaNiN5
_chemical_formula_sum 'Pa8 Ga4 Ni4 N20'
_cell_length_a 3.385
_cell_length_b 13.682
_cell_length_c 9.317
_cell_angle_alpha 90.00
_cell_angle_beta 90.00
_cell_angle_gamma 90.00
_space_group_name_H-M_alt 'C m c 21'
_space_group_IT_number 36
loop_
_space_group_symop_operation_xyz
'x,y,z'
'-x,-y,z+1/2'
'-x,y,z'
'x,-y,z+1/2'
'x+1/2,y+1/2,z'
'-x+1/2,-y+1/2,z+1/2'
'-x+1/2,y+1/2,z'
'x+1/2,-y+1/2,z+1/2'
loop_
_atom_site_label
_atom_site_type_symbol
_atom_site_fract_x
_atom_site_fract_y
_atom_site_fract_z
_atom_site_occupancy
Pa1 Pa 0.000 0.131 0.000 1
Pa2 Pa 0.000 0.133 0.432 1
Ga1 Ga 0.000 0.482 0.208 1
Ni1 Ni 0.000 0.221 0.721 1
N1 N 0.000 0.072 0.757 1
N2 N 0.000 0.292 0.381 1
N3 N 0.000 0.295 0.070 1
N4 N 0.000 0.371 0.754 1
N5 N 0.000 0.492 0.498 1
```

Entry 2:
The following is a GGA-PBE calculation of an optimized crystal structure of GaNi2PbN, from Alexandria.

Summary:
* formation energy from raw total energies: 0.815 eV per atom

Cell and atoms, written as CIF:
```
data_GaNi2PbN
_chemical_formula_sum 'Ga1 Ni2 Pb1 N1'
_cell_length_a 4.607
_cell_length_b 4.607
_cell_length_c 3.778
_cell_angle_alpha 90.00
_cell_angle_beta 90.00
_cell_angle_gamma 90.00
_space_group_name_H-M_alt 'P 4/m m m'
_space_group_IT_number 123
_space_group_name_Hall '-P 4 2'
loop_
_atom_site_label
_atom_site_type_symbol
_atom_site_fract_x
_atom_site_fract_y
_atom_site_fract_z
_atom_site_occupancy
Ga1 Ga 0.000 0.000 0.000 1
Ni1 Ni 0.000 0.500 0.000 1
Pb1 Pb 0.500 0.500 0.500 1
N1 N 0.000 0.000 0.500 1
```

Entry 3:
The following is a GGA-PBE calculation of an optimized crystal structure of PmGaNiN, from Alexandria.

Summary:
* formation energy from raw total energies: -0.814 eV per atom

Cell and atoms, written as CIF:
```
data_PmGaNiN
_chemical_formula_sum 'Pm2 Ga2 Ni2 N2'
_cell_length_a 3.692
_cell_length_b 3.692
_cell_length_c 9.103
_cell_angle_alpha 90.00
_cell_angle_beta 90.00
_cell_angle_gamma 90.00
_space_group_name_H-M_alt 'P 4/n m m'
_space_group_IT_number 129
loop_
_space_group_symop_operation_xyz
'x,y,z'
'-x,-y,-z'
'-y+1/2,x,z'
'y+1/2,-x,-z'
'-x+1/2,-y+1/2,z'
'x+1/2,y+1/2,-z'
'y,-x+1/2,z'
'-y,x+1/2,-z'
'x+1/2,-y,-z'
'-x+1/2,y,z'
'-y,-x,-z'
'y,x,z'
'-x,y+1/2,-z'
'x,-y+1/2,z'
'y+1/2,x+1/2,-z'
'-y+1/2,-x+1/2,z'
loop_
_atom_site_label
_atom_site_type_symbol
_atom_site_fract_x
_atom_site_fract_y
_atom_site_fract_z
_atom_site_occupancy
Pm1 Pm 0.250 0.250 0.139 1
Ga1 Ga 0.250 0.250 0.663 1
Ni1 Ni 0.250 0.750 0.500 1
N1 N 0.250 0.250 0.881 1
```

Entry 4:
The following is a GGA-PBE calculation of an optimized crystal structure of PrGaNiN, from Alexandria.

Summary:
* formation energy from raw total energies: -0.771 eV per atom

Cell and atoms, written as CIF:
```
data_PrGaNiN
_chemical_formula_sum 'Pr2 Ga2 Ni2 N2'
_cell_length_a 3.754
_cell_length_b 3.754
_cell_length_c 9.096
_cell_angle_alpha 90.00
_cell_angle_beta 90.00
_cell_angle_gamma 90.00
_space_group_name_H-M_alt 'P 4/n m m'
_space_group_IT_number 129
loop_
_space_group_symop_operation_xyz
'x,y,z'
'-x,-y,-z'
'-y+1/2,x,z'
'y+1/2,-x,-z'
'-x+1/2,-y+1/2,z'
'x+1/2,y+1/2,-z'
'y,-x+1/2,z'
'-y,x+1/2,-z'
'x+1/2,-y,-z'
'-x+1/2,y,z'
'-y,-x,-z'
'y,x,z'
'-x,y+1/2,-z'
'x,-y+1/2,z'
'y+1/2,x+1/2,-z'
'-y+1/2,-x+1/2,z'
loop_
_atom_site_label
_atom_site_type_symbol
_atom_site_fract_x
_atom_site_fract_y
_atom_site_fract_z
_atom_site_occupancy
Pr1 Pr 0.250 0.250 0.142 1
Ga1 Ga 0.250 0.250 0.661 1
Ni1 Ni 0.250 0.750 0.500 1
N1 N 0.250 0.250 0.878 1
```

Entry 5:
The following is a GGA-PBE calculation of an optimized crystal structure of RbGaNiN2, from Alexandria.

Summary:
* formation energy from raw total energies: 1.159 eV per atom

Cell and atoms, written as CIF:
```
data_RbGaNiN2
_chemical_formula_sum 'Rb1 Ga1 Ni1 N2'
_cell_length_a 4.164
_cell_length_b 4.164
_cell_length_c 4.613
_cell_angle_alpha 90.00
_cell_angle_beta 90.00
_cell_angle_gamma 90.00
_space_group_name_H-M_alt 'P 4/m m m'
_space_group_IT_number 123
_space_group_name_Hall '-P 4 2'
loop_
_atom_site_label
_atom_site_type_symbol
_atom_site_fract_x
_atom_site_fract_y
_atom_site_fract_z
_atom_site_occupancy
Rb1 Rb 0.000 0.000 0.000 1
Ga1 Ga 0.500 0.500 0.000 1
Ni1 Ni 0.500 0.500 0.500 1
N1 N 0.000 0.500 0.500 1
```

Entry 6:
The following is a GGA-PBE calculation of an optimized crystal structure of RbGaNiN2, from Alexandria.

Summary:
* formation energy from raw total energies: 2.822 eV per atom

Cell and atoms, written as CIF:
```
data_RbGaNiN2
_chemical_formula_sum 'Rb1 Ga1 Ni1 N2'
_cell_length_a 4.414
_cell_length_b 4.414
_cell_length_c 4.986
_cell_angle_alpha 90.00
_cell_angle_beta 90.00
_cell_angle_gamma 90.00
_space_group_name_H-M_alt 'P 4/m m m'
_space_group_IT_number 123
_space_group_name_Hall '-P 4 2'
loop_
_atom_site_label
_atom_site_type_symbol
_atom_site_fract_x
_atom_site_fract_y
_atom_site_fract_z
_atom_site_occupancy
Rb1 Rb 0.000 0.000 0.000 1
Ga1 Ga 0.500 0.500 0.500 1
Ni1 Ni 0.000 0.000 0.500 1
N1 N 0.000 0.500 0.000 1
```

Entry 7:
The following is a GGA-PBE calculation of an optimized crystal structure of GaNiRu2N, from Alexandria.

Summary:
* formation energy from raw total energies: 0.021 eV per atom

Cell and atoms, written as CIF:
```
data_GaNiRu2N
_chemical_formula_sum 'Ga1 Ni1 Ru2 N1'
_cell_length_a 4.048
_cell_length_b 4.048
_cell_length_c 3.752
_cell_angle_alpha 90.00
_cell_angle_beta 90.00
_cell_angle_gamma 90.00
_space_group_name_H-M_alt 'P 4/m m m'
_space_group_IT_number 123
_space_group_name_Hall '-P 4 2'
loop_
_atom_site_label
_atom_site_type_symbol
_atom_site_fract_x
_atom_site_fract_y
_atom_site_fract_z
_atom_site_occupancy
Ga1 Ga 0.000 0.000 0.000 1
Ni1 Ni 0.500 0.500 0.000 1
Ru1 Ru 0.000 0.500 0.500 1
N1 N 0.500 0.500 0.500 1
```

Entry 8:
The following is a GGA-PBE calculation of an optimized crystal structure of Ga2NiRuN, from Alexandria.

Summary:
* formation energy from raw total energies: 0.436 eV per atom

Cell and atoms, written as CIF:
```
data_Ga2NiRuN
_chemical_formula_sum 'Ga2 Ni1 Ru1 N1'
_cell_length_a 4.220
_cell_length_b 4.220
_cell_length_c 3.770
_cell_angle_alpha 90.00
_cell_angle_beta 90.00
_cell_angle_gamma 90.00
_space_group_name_H-M_alt 'P 4/m m m'
_space_group_IT_number 123
_space_group_name_Hall '-P 4 2'
loop_
_atom_site_label
_atom_site_type_symbol
_atom_site_fract_x
_atom_site_fract_y
_atom_site_fract_z
_atom_site_occupancy
Ga1 Ga 0.000 0.500 0.000 1
Ni1 Ni 0.000 0.000 0.500 1
Ru1 Ru 0.500 0.500 0.500 1
N1 N 0.500 0.500 0.000 1
```

Number 1: raw total energy -8.534 eV per atom, DOS at the Fermi energy 0.262 states/eV/atom. Number 2: raw total energy -4.510 eV per atom, DOS at the Fermi energy 0.204 states/eV/atom. Number 3: raw total energy -6.285 eV per atom, DOS at the Fermi energy 0.458 states/eV/atom. Number 4: raw total energy -6.249 eV per atom, DOS at the Fermi energy 0.447 states/eV/atom. Number 5: raw total energy -4.126 eV per atom, DOS at the Fermi energy 0.932 states/eV/atom. Number 6: raw total energy -2.463 eV per atom, DOS at the Fermi energy 1.574 states/eV/atom. Number 7: raw total energy -7.116 eV per atom, DOS at the Fermi energy 0.886 states/eV/atom. Number 8: raw total energy -5.451 eV per atom, DOS at the Fermi energy 0.789 states/eV/atom.